Density functional theory data (PBE) for an optimized crystal structure of LiAg.

```
data_LiAg
_chemical_formula_sum 'Li2 Ag2'
_cell_length_a 9.272
_cell_length_b 9.272
_cell_length_c 9.272
_cell_angle_alpha 18.52
_cell_angle_beta 18.52
_cell_angle_gamma 18.52
_symmetry_space_group_name_H-M 'P 1'
_symmetry_Int_Tables_number 1
_symmetry_space_group_name_Hall 'P 1'
loop_
_atom_site_label
_atom_site_type_symbol
_atom_site_fract_x
_atom_site_fract_y
_atom_site_fract_z
Li1 Li 0.121 0.121 0.121
Li2 Li 0.879 0.879 0.879
Ag1 Ag 0.377 0.377 0.377
Ag2 Ag 0.623 0.623 0.623
```

Raw total energy (eV for the cell shown): -9.74
ΔE_f (eV per atom): -0.051
Fermi-level density of states (states/eV/atom): 0.491
SG: R-3m, No. 166